[1]
Below is a PBEsol-optimized structure of HfCd3Ge, with properties calculated at the meta-GGA SCAN level.

- mass density (g/cm3) = 8.0
- E (Ry per atom) = -2.4793
- crystal system = cubic
- space-group type = Pm-3m
- magnetization (μB/cell) = 0.00
- calculated formation energy (eV/atom) = 0.87

Unit cell a=4.9629 b=4.9629 c=4.9629 alpha=90.00 beta=90.00 gamma=90.00
Closest atoms and distances in Å follow each position.
Fractional coordinates of all 5 atoms:
Cd  0.5000  0.0000  0.0000  2 Ge 2.48
Cd  0.0000  0.0000  0.5000  2 Ge 2.48
Cd  0.0000  0.5000  0.0000  2 Ge 2.48
Hf  0.5000  0.5000  0.5000  12 Cd 3.51
Ge  0.0000  0.0000  0.0000  6 Cd 2.48



[2]
Below is a PBEsol-optimized structure of BaTi2O5, with properties calculated at the meta-GGA SCAN level.

- mass density (g/cm3) = 4.8
- E (Ry per atom) = -1.1929
- ΔE_f (raw) (eV/atom) = -3.385
- crystal system = orthorhombic
- space-group type = Pnma
- magnetization (μB/cell) = 0.00
- energy above the lowest structure with this stoichiometry (meV per atom) = 0.0

Unit cell a=3.9114 b=10.2573 c=10.8843 alpha=90.00 beta=90.00 gamma=90.00
Closest atoms and distances in Å follow each position.
Fractional coordinates of all 32 atoms:
O  0.2500  0.4872  0.1496  1 Ti 1.75
O  0.2500  0.5987  0.4247  1 Ti 1.75
O  0.7500  0.9013  0.9247  1 Ti 1.75
O  0.2500  0.7652  0.2196  2 Ti 1.85-1.93
O  0.2500  0.0987  0.0753  1 Ti 1.75
O  0.7500  0.6734  0.0700  3 Ti 1.98-1.99
O  0.7500  0.4013  0.5753  1 Ti 1.75
O  0.7500  0.1734  0.4300  3 Ti 1.98-1.99
O  0.7500  0.5128  0.8504  1 Ti 1.75
O  0.2500  0.2652  0.2804  2 Ti 1.85-1.93
O  0.7500  0.7348  0.7196  2 Ti 1.85-1.93
O  0.2500  0.6987  0.9162  3 Ti 1.98-2.00
O  0.2500  0.1987  0.5838  3 Ti 1.98-2.00
O  0.7500  0.0128  0.6496  1 Ti 1.75
O  0.2500  0.8266  0.5700  3 Ti 1.98-1.99
O  0.2500  0.9872  0.3504  1 Ti 1.75
O  0.2500  0.3266  0.9300  3 Ti 1.98-1.99
O  0.7500  0.2348  0.7804  2 Ti 1.85-1.93
O  0.7500  0.8013  0.4162  3 Ti 1.98-2.00
O  0.7500  0.3013  0.0838  3 Ti 1.98-2.00
Ba  0.2500  0.0506  0.8237  8 O 2.72-3.02
Ba  0.7500  0.9494  0.1763  8 O 2.72-3.02
Ba  0.7500  0.4494  0.3237  8 O 2.72-3.02
Ba  0.2500  0.5506  0.6763  8 O 2.72-3.02
Ti  0.2500  0.1461  0.4083  2 O 1.75-1.85
Ti  0.7500  0.7329  0.8970  2 O 1.75-1.93
Ti  0.7500  0.3539  0.9083  2 O 1.75-1.85
Ti  0.2500  0.7671  0.3970  2 O 1.75-1.93
Ti  0.2500  0.2671  0.1030  2 O 1.75-1.93
Ti  0.7500  0.8539  0.5917  2 O 1.75-1.85
Ti  0.7500  0.2329  0.6030  2 O 1.75-1.93
Ti  0.2500  0.6461  0.0917  2 O 1.75-1.85



[3]
Below is a PBEsol-optimized structure of LaRe2As, with properties calculated at the meta-GGA SCAN level.

- mass density (g/cm3) = 13.6
- E (Ry per atom) = -3.7522
- crystal system = trigonal
- space-group type = R3m
- magnetization (μB/cell) = 0.00
- calculated formation energy (eV/atom) = 0.32

Unit cell a=2.9331 b=2.9331 c=9.7629 alpha=81.36 beta=81.36 gamma=60.00
Closest atoms and distances in Å follow each position.
Fractional coordinates of all 4 atoms:
Re  0.7498  0.7498  0.7506  3 As 2.63, 9 Re 2.64-2.93
Re  0.0131  0.0131  0.9608  9 Re 2.64-2.93
As  0.4860  0.4860  0.5419  3 Re 2.63, 6 As 2.93
La  0.2511  0.2511  0.2467  6 La 2.93, 3 Re 3.23



[4]
Below is a PBEsol-optimized structure of LiSi2Tc, with properties calculated at the meta-GGA SCAN level.

- mass density (g/cm3) = 5.4
- E (Ry per atom) = -1.0706
- ΔE_f (raw) (eV/atom) = -0.196
- crystal system = tetragonal
- space-group type = I4/mmm
- magnetization (μB/cell) = 0.99
- energy above the lowest structure with this stoichiometry (meV per atom) = 9.3

Unit cell a=3.7682 b=3.7682 c=4.4120 alpha=115.28 beta=115.28 gamma=90.00
Closest atoms and distances in Å follow each position.
Fractional coordinates of all 4 atoms:
Si  0.2500  0.7500  0.5000  4 Tc 2.58, 4 Li 2.58, 4 Si 2.66
Si  0.7500  0.2500  0.5000  4 Tc 2.58, 4 Li 2.58, 4 Si 2.66
Li  0.0000  0.0000  0.0000  8 Si 2.58, 4 Tc 2.66
Tc  0.5000  0.5000  0.0000  8 Si 2.58, 4 Li 2.66



[5]
Below is a PBEsol-optimized structure of K2SiAu, with properties calculated at the meta-GGA SCAN level.

- mass density (g/cm3) = 2.8
- E (Ry per atom) = -1.7734
- ΔE_f (raw) (eV/atom) = -0.171
- crystal system = tetragonal
- space-group type = I-42d
- magnetization (μB/cell) = 0.00

Unit cell a=4.5855 b=9.1113 c=9.1113 alpha=86.37 beta=75.43 gamma=75.43
Closest atoms and distances in Å follow each position.
Fractional coordinates of all 8 atoms:
Au  0.0000  0.0000  0.0000  2 Si 2.29
Au  0.7500  0.5000  0.5000  2 Si 2.29
K  0.3750  0.7945  0.7055  2 Au 3.22, 2 Si 3.60
K  0.8750  0.2055  0.2945  2 Au 3.22, 2 Si 3.60
K  0.9195  0.7055  0.2055  2 Au 3.22, 2 Si 3.60
K  0.8305  0.2945  0.7945  2 Au 3.22, 2 Si 3.60
Si  0.5000  0.0000  0.0000  2 Au 2.29
Si  0.2500  0.5000  0.5000  2 Au 2.29



[6]
Below is a PBEsol-optimized structure of BeNiN2, with properties calculated at the meta-GGA SCAN level.

- mass density (g/cm3) = 4.4
- E (Ry per atom) = -0.7155
- ΔE_f (raw) (eV/atom) = 0.042
- crystal system = trigonal
- space-group type = R-3m
- magnetization (μB/cell) = 0.00

Unit cell a=2.8918 b=2.8918 c=5.2575 alpha=74.04 beta=74.04 gamma=60.00
Closest atoms and distances in Å follow each position.
Fractional coordinates of all 4 atoms:
N  0.1029  0.1029  0.6912  1 Be 1.54
N  0.8971  0.8971  0.3088  1 Be 1.54
Ni  0.5000  0.5000  0.5000  6 N 1.92
Be  0.0000  0.0000  0.0000  2 N 1.54



[7]
Below is a PBEsol-optimized structure of YBe2W, with properties calculated at the meta-GGA SCAN level.

- mass density (g/cm3) = 8.4
- E (Ry per atom) = -1.9198
- crystal system = orthorhombic
- space-group type = Cmmm
- magnetization (μB/cell) = 0.00
- calculated formation energy (eV/atom) = 0.44
- energy above the lowest structure with this stoichiometry (meV per atom) = 77.5

Unit cell a=2.7806 b=4.5618 c=4.5618 alpha=96.56 beta=90.00 gamma=90.00
Closest atoms and distances in Å follow each position.
Fractional coordinates of all 4 atoms:
W  0.5000  0.0000  0.0000  8 Be 2.67, 2 W 2.78
Be  0.0000  0.5000  0.0000  4 Y 2.67, 4 W 2.67, 2 Be 2.78
Be  0.0000  0.0000  0.5000  4 W 2.67, 4 Y 2.67, 2 Be 2.78
Y  0.5000  0.5000  0.5000  8 Be 2.67, 2 Y 2.78



[8]
Below is a PBEsol-optimized structure of BeCu5, with properties calculated at the meta-GGA SCAN level.

- mass density (g/cm3) = 8.4
- E (Ry per atom) = -0.9874
- crystal system = orthorhombic
- space-group type = Cmmm
- magnetization (μB/cell) = 0.00
- calculated formation energy (eV/atom) = -0.04
- energy above the lowest structure with this stoichiometry (meV per atom) = 17.9

Unit cell a=3.5183 b=3.4921 c=5.5509 alpha=90.00 beta=108.48 gamma=90.00
Closest atoms and distances in Å follow each position.
Fractional coordinates of all 6 atoms:
Cu  0.6630  0.5000  0.3260  2 Be 2.45, 10 Cu 2.46-2.54
Cu  0.1631  0.0000  0.3261  10 Cu 2.45-2.54, 2 Be 2.46
Cu  0.3370  0.5000  0.6740  2 Be 2.45, 10 Cu 2.46-2.54
Cu  0.0000  0.5000  0.0000  8 Cu 2.45-2.46, 4 Be 2.48
Cu  0.8369  0.0000  0.6739  10 Cu 2.45-2.54, 2 Be 2.46
Be  0.5000  0.0000  0.0000  12 Cu 2.45-2.48